[1]
# Li4In3Bi2, relaxed, DFT PBE
data_Li4In3Bi2
_chemical_formula_sum 'Li4 In3 Bi2'
_cell_length_a 4.697
_cell_length_b 4.991
_cell_length_c 10.071
_cell_angle_alpha 83.23
_cell_angle_beta 88.81
_cell_angle_gamma 62.49
_space_group_name_H-M_alt 'P -1'
_space_group_IT_number 2
loop_
_space_group_symop_operation_xyz
'x,y,z'
'-x,-y,-z'
loop_
_atom_site_label
_atom_site_fract_x
_atom_site_fract_y
_atom_site_fract_z
_atom_site_occupancy
Li1 0.006 0.483 0.325 1
Li2 0.337 0.825 0.108 1
In1 0.000 0.500 0.000 1
In2 0.335 0.828 0.443 1
Bi1 0.328 0.852 0.793 1
# * electronic total energy: -2.9000 eV per atom

***

[2]
# Li4InBi2, relaxed, DFT PBE
data_Li4InBi2
_chemical_formula_sum 'Li8 In2 Bi4'
_cell_length_a 7.679
_cell_length_b 5.462
_cell_length_c 8.477
_cell_angle_alpha 90.00
_cell_angle_beta 112.66
_cell_angle_gamma 90.00
_space_group_name_H-M_alt 'P 1 21/m 1'
_space_group_IT_number 11
loop_
_space_group_symop_operation_xyz
'x,y,z'
'-x,-y,-z'
'-x,y+1/2,-z'
'x,-y+1/2,z'
loop_
_atom_site_label
_atom_site_fract_x
_atom_site_fract_y
_atom_site_fract_z
_atom_site_occupancy
Li1 0.093 0.250 0.107 1
Li2 0.123 0.750 0.337 1
Li3 0.317 0.003 0.814 1
In1 0.488 0.250 0.378 1
Bi1 0.144 0.250 0.483 1
Bi2 0.304 0.750 0.105 1
# * relative energy among the computed polymorphs: 0.57 eV per formula unit
# * electronic total energy: -2.8805 eV per atom

***

[3]
# LiInBi2, relaxed, DFT PBE
data_LiInBi2
_chemical_formula_sum 'Li3 In3 Bi6'
_cell_length_a 3.4707
_cell_length_b 3.4707
_cell_length_c 34.4906
_cell_angle_alpha 90.00
_cell_angle_beta 90.00
_cell_angle_gamma 120.00
_space_group_name_H-M_alt 'R -3 m'
_space_group_IT_number 166
_space_group_name_Hall '-R 3 2"'
loop_
_atom_site_label
_atom_site_fract_x
_atom_site_fract_y
_atom_site_fract_z
_atom_site_occupancy
Li1 0.0000 0.0000 0.0000 1
In1 0.0000 0.0000 0.5000 1
Bi1 0.0000 0.0000 0.0817 1
# * electronic total energy: -3.0739 eV per atom

***

[4]
# Li3In2Bi, relaxed, DFT PBE
data_Li3In2Bi
_chemical_formula_sum 'Li3 In2 Bi1'
_cell_length_a 4.8993
_cell_length_b 4.8993
_cell_length_c 6.1345
_cell_angle_alpha 90.00
_cell_angle_beta 90.00
_cell_angle_gamma 120.00
_space_group_name_H-M_alt 'P -3 m 1'
_space_group_IT_number 164
_space_group_name_Hall '-P 3 2"'
loop_
_atom_site_label
_atom_site_fract_x
_atom_site_fract_y
_atom_site_fract_z
_atom_site_occupancy
Li1 0.0000 0.0000 0.0000 1
Li2 0.3333 0.6667 0.6549 1
In1 0.3333 0.6667 0.1396 1
Bi1 0.0000 0.0000 0.5000 1
# * electronic total energy: -2.8260 eV per atom

***

[5]
# Li2In2Bi, relaxed, DFT PBE
data_Li2In2Bi
_chemical_formula_sum 'Li4 In4 Bi2'
_cell_length_a 8.235
_cell_length_b 8.235
_cell_length_c 3.412
_cell_angle_alpha 90.00
_cell_angle_beta 90.00
_cell_angle_gamma 90.00
_space_group_name_H-M_alt 'P 4/m b m'
_space_group_IT_number 127
_space_group_name_Hall '-P 4 2ab'
loop_
_atom_site_label
_atom_site_fract_x
_atom_site_fract_y
_atom_site_fract_z
_atom_site_occupancy
Li1 0.163 0.337 0.000 1
In1 0.137 0.637 0.500 1
Bi1 0.000 0.000 0.000 1
# * relative energy among the computed polymorphs: 0.29 eV per formula unit
# * electronic total energy: -2.7904 eV per atom

***

[6]
# LiIn3Bi2, relaxed, DFT PBE
data_LiIn3Bi2
_chemical_formula_sum 'Li4 In12 Bi8'
_cell_length_a 8.993
_cell_length_b 10.910
_cell_length_c 7.144
_cell_angle_alpha 90.00
_cell_angle_beta 108.20
_cell_angle_gamma 90.00
_space_group_name_H-M_alt 'C 1 2/c 1'
_space_group_IT_number 15
loop_
_space_group_symop_operation_xyz
'x,y,z'
'-x,-y,-z'
'-x,y,-z+1/2'
'x,-y,z+1/2'
'x+1/2,y+1/2,z'
'-x+1/2,-y+1/2,-z'
'-x+1/2,y+1/2,-z+1/2'
'x+1/2,-y+1/2,z+1/2'
loop_
_atom_site_label
_atom_site_fract_x
_atom_site_fract_y
_atom_site_fract_z
_atom_site_occupancy
Li1 0.000 0.177 0.250 1
In1 0.000 0.455 0.250 1
In2 0.158 0.053 0.955 1
Bi1 0.153 0.280 0.656 1
# * electronic total energy: -3.0503 eV per atom

***

[7]
# LiIn12Bi6, relaxed, DFT PBE
data_LiIn12Bi6
_chemical_formula_sum 'Li3 In36 Bi18'
_cell_length_a 11.7632
_cell_length_b 11.7632
_cell_length_c 14.0461
_cell_angle_alpha 90.00
_cell_angle_beta 90.00
_cell_angle_gamma 120.00
_space_group_name_H-M_alt 'R -3'
_space_group_IT_number 148
_space_group_name_Hall '-R 3'
loop_
_atom_site_label
_atom_site_fract_x
_atom_site_fract_y
_atom_site_fract_z
_atom_site_occupancy
Li1 0.0000 0.0000 0.0000 1
In1 0.0517 0.8640 0.7949 1
In2 0.0813 0.2043 0.4068 1
Bi1 0.0538 0.5928 0.7322 1
# * electronic total energy: -3.0391 eV per atom

***

[8]
# LiIn8Bi6, relaxed, DFT PBE
data_LiIn8Bi6
_chemical_formula_sum 'Li3 In24 Bi18'
_cell_length_a 8.6555
_cell_length_b 8.6555
_cell_length_c 21.8392
_cell_angle_alpha 90.00
_cell_angle_beta 90.00
_cell_angle_gamma 120.00
_space_group_name_H-M_alt 'R -3'
_space_group_IT_number 148
_space_group_name_Hall '-R 3'
loop_
_atom_site_label
_atom_site_fract_x
_atom_site_fract_y
_atom_site_fract_z
_atom_site_occupancy
Li1 0.0000 0.0000 0.0000 1
In1 0.0000 0.0000 0.2637 1
In2 0.0372 0.2536 0.1490 1
Bi1 0.0391 0.4184 0.3007 1
# * electronic total energy: -3.0861 eV per atom

***

[9]
# Li2In9Bi, relaxed, DFT PBE
data_Li2In9Bi
_chemical_formula_sum 'Li2 In9 Bi1'
_cell_length_a 4.571
_cell_length_b 4.571
_cell_length_c 14.693
_cell_angle_alpha 90.00
_cell_angle_beta 90.00
_cell_angle_gamma 90.00
_space_group_name_H-M_alt 'P 4/m m m'
_space_group_IT_number 123
_space_group_name_Hall '-P 4 2'
loop_
_atom_site_label
_atom_site_fract_x
_atom_site_fract_y
_atom_site_fract_z
_atom_site_occupancy
Li1 0.000 0.000 0.152 1
In1 0.000 0.500 0.000 1
In2 0.000 0.500 0.319 1
In3 0.500 0.500 0.156 1
In4 0.500 0.500 0.500 1
Bi1 0.000 0.000 0.500 1
# * electronic total energy: -2.7589 eV per atom

***

[10]
# Li9In4Bi11, relaxed, DFT PBE
data_Li9In4Bi11
_chemical_formula_sum 'Li18 In8 Bi22'
_cell_length_a 17.177
_cell_length_b 21.060
_cell_length_c 3.432
_cell_angle_alpha 90.00
_cell_angle_beta 90.00
_cell_angle_gamma 90.00
_space_group_name_H-M_alt 'C m m m'
_space_group_IT_number 65
_space_group_name_Hall '-C 2 2'
loop_
_atom_site_label
_atom_site_fract_x
_atom_site_fract_y
_atom_site_fract_z
_atom_site_occupancy
Li1 0.000 0.000 0.000 1
Li2 0.108 0.403 0.000 1
Li3 0.125 0.239 0.000 1
In1 0.142 0.079 0.000 1
Bi1 0.000 0.164 0.500 1
Bi2 0.000 0.318 0.500 1
Bi3 0.000 0.500 0.500 1
Bi4 0.207 0.500 0.500 1
Bi5 0.236 0.328 0.500 1
# * electronic total energy: -3.1849 eV per atom

***

no.,calculated formation energy (kcal/mol of atoms)
1,-6.32
2,-6.62
3,0.68
4,-7.14
5,-3.54
6,-1.58
7,0.39
8,1.25
9,-1.45
10,-5.35